Entry 1:
A relaxed structure of HoIrW. Source: OQMD, functional PBE.

## Properties
E_form ... 0.197 eV/atom
Final energy ... -25.80 eV/cell
Energy relative to the lowest polymorph listed for this composition ... 0 meV/atom

Lattice parameters (Å, degrees): 4.5088 4.5088 4.5088 60.00 60.00 60.00
With the nearest neighbours (Å) after each atom.
Atoms (fractional coordinates):
Ho1 0.0000 0.0000 0.0000  4 Ir 2.76
Ir1 0.2500 0.2500 0.2500  4 W 2.76, 4 Ho 2.76
W1 0.5000 0.5000 0.5000  4 Ir 2.76

---

Entry 2:
A relaxed structure of HoIrW. Source: OQMD, functional PBE.

## Properties
E_form ... 1.339 eV/atom
Final energy ... -22.37 eV/cell
Energy relative to the lowest polymorph listed for this composition ... 1142 meV/atom

Lattice parameters (Å, degrees): 4.5379 4.5379 4.5379 60.00 60.00 60.00
With the nearest neighbours (Å) after each atom.
Atoms (fractional coordinates):
Ho1 0.0000 0.0000 0.0000  4 W 2.78, 4 Ir 2.78
Ir1 0.7500 0.7500 0.7500  4 Ho 2.78
W1 0.2500 0.2500 0.2500  4 Ho 2.78

---

Entry 3:
A relaxed structure of Y3HoIr8. Source: OQMD, functional PBE.

## Properties
E_form ... -0.807 eV/atom
Final energy ... -104.50 eV/cell

Lattice parameters (Å, degrees): 9.2656 9.2656 9.2656 33.58 33.58 33.58
With the nearest neighbours (Å) after each atom.
Atoms (fractional coordinates):
Y1 0.0000 0.0000 0.0000  12 Ir 3.13-3.14, 3 Ho 3.28, 1 Y 3.28
Y2 0.1251 0.1251 0.1251  12 Ir 3.14, 4 Y 3.28
Y3 0.5003 0.5003 0.5003  12 Ir 3.14, 1 Ho 3.27, 3 Y 3.28
Ho1 0.6252 0.6252 0.6252  12 Ir 3.13-3.14, 4 Y 3.27-3.28
Ir1 0.0622 0.5626 0.5626  6 Ir 2.67-2.68
Ir2 0.0627 0.0627 0.5629  6 Ir 2.67-2.68
Ir3 0.0627 0.5629 0.0627  6 Ir 2.67-2.68
Ir4 0.3126 0.3126 0.3126  6 Ir 2.67
Ir5 0.5626 0.0622 0.5626  6 Ir 2.67-2.68
Ir6 0.5629 0.0627 0.0627  6 Ir 2.67-2.68
Ir7 0.5626 0.5626 0.0622  6 Ir 2.67-2.68
Ir8 0.8126 0.8126 0.8126  6 Ir 2.68

---

Entry 4:
A relaxed structure of KHo. Source: OQMD, functional PBE.

## Properties
Final energy ... -4.63 eV/cell

Lattice parameters (Å, degrees): 3.6214 3.6214 7.1441 90.00 90.00 120.00
With the nearest neighbours (Å) after each atom.
Atoms (fractional coordinates):
K1 0.0000 0.0000 0.0000  6 K 3.62
Ho1 0.3333 0.6667 0.5000  6 Ho 3.62

---

Entry 5:
A relaxed structure of KHo. Source: OQMD, functional PBE.

## Properties
Final energy ... -2.01 eV/cell

Lattice parameters (Å, degrees): 6.0387 6.0387 6.0387 60.00 60.00 60.00
With the nearest neighbours (Å) after each atom.
Atoms (fractional coordinates):
K1 0.0000 0.0000 0.0000  4 Ho 3.70
Ho1 0.2500 0.2500 0.2500  4 K 3.70

---

Entry 6:
A relaxed structure of KHo. Source: OQMD, functional PBE.

## Properties
Final energy ... -3.20 eV/cell

Lattice parameters (Å, degrees): 4.9455 4.9455 4.9455 60.00 60.00 60.00
With the nearest neighbours (Å) after each atom.
Atoms (fractional coordinates):
K1 0.0000 0.0000 0.0000  6 Ho 3.50
Ho1 0.5000 0.5000 0.5000  6 K 3.50